1.
DFT (GGA-PBE) results for Tb7Nd12Zr after structural relaxation.

Geometry as extended XYZ:
```
20
Lattice="-2.019 3.025 5.046 4.020 -9.652 4.838 7.818 7.498 -3.922" Properties=species:S:1:pos:R:3 pbc="T T T"
Tb 2.819 -6.960 4.253
Tb 7.677 0.315 3.929
Tb 7.000 7.830 1.709
Tb 9.705 -3.615 2.447
Tb 0.114 4.486 3.515
Tb 2.142 0.555 2.033
Tb -1.009 1.512 2.523
Nd 5.238 1.942 2.209
Nd 4.581 -1.072 3.753
Nd 1.907 3.939 0.769
Nd 4.691 -2.111 6.975
Nd 2.313 2.037 5.004
Nd 3.558 -4.087 2.595
Nd 7.912 -3.068 5.193
Nd 1.446 -4.502 6.021
Nd 7.506 -1.167 0.958
Nd 5.128 2.981 -1.013
Nd 6.261 4.957 3.367
Nd 8.373 5.373 -0.059
Zr 0.000 0.000 0.000
```

Summary:
The energy comes out at -93.9 eV per cell. As for the formation energy: 0.212 eV/atom. The space-group type is No. 148.

2.
DFT (GGA-PBE) results for Na4PrNp3S8 after structural relaxation.

Geometry as extended XYZ:
```
16
Lattice="-0.254 5.225 -6.209 5.546 -4.454 -3.975 -6.836 -3.479 2.659" Properties=species:S:1:pos:R:3 pbc="T T T"
Np -0.772 -1.354 -3.762
Np -0.645 -3.967 -0.658
Np 2.646 0.386 -5.092
Pr 2.773 -2.227 -1.988
S 0.525 -1.022 -6.190
S -2.731 -5.381 -1.830
S 1.187 2.673 -5.694
S -2.145 0.977 -4.398
S 0.601 -3.685 -3.126
S -2.069 -1.686 -1.335
S -2.855 -2.835 -4.856
S 1.311 0.126 -2.668
Na -0.127 2.613 -3.104
Na 0.000 0.000 0.000
Na -3.545 0.873 -1.775
Na -3.418 -1.740 1.330
```

Summary:
The energy comes out at -105.2 eV per cell. The space-group type is No. 166. The formation energy from raw total energies comes out at -1.4547 eV/atom.

3.
DFT (GGA-PBE) results for AcLa4Bi2 after structural relaxation.

Geometry as extended XYZ:
```
7
Lattice="-4.286 0.325 -4.180 2.971 -3.983 -3.356 -3.462 -4.396 7.509" Properties=species:S:1:pos:R:3 pbc="T T T"
La -3.256 -5.755 -1.409
La 1.485 -1.991 -1.678
La -1.521 -2.298 1.381
La -2.143 0.163 -2.090
Ac 0.000 0.000 0.000
Bi -3.075 -4.645 2.791
Bi -1.703 -3.408 -2.819
```

Summary:
The energy comes out at -29.9 eV per cell. As for the formation energy: 0.239 eV/atom. The space-group type is No. 139.

4.
DFT (GGA-PBE) results for Zr3TcRh after structural relaxation.

Geometry as extended XYZ:
```
5
Lattice="4.937 0.000 0.000 0.000 4.937 0.000 0.000 0.000 4.937" Properties=species:S:1:pos:R:3 pbc="T T T"
Tc 2.469 2.469 2.469
Zr 0.000 2.469 0.000
Zr 2.469 0.000 0.000
Zr 0.000 0.000 2.469
Rh 0.000 0.000 0.000
```

Summary:
As for the energy above the most stable polymorph in this dataset: 98.3 meV per atom. The energy comes out at -39.9 eV per cell. As for the formation energy: 0.690 eV/atom. The space-group type is No. 221.

5.
DFT (GGA-PBE) results for LaMnIr after structural relaxation.

Geometry as extended XYZ:
```
3
Lattice="4.665 0.000 0.000 2.332 4.040 0.000 2.332 1.347 3.809" Properties=species:S:1:pos:R:3 pbc="T T T"
Ir 4.665 2.693 1.904
La 6.997 4.040 2.857
Mn 0.000 0.000 0.000
```

Summary:
The energy comes out at -21.0 eV per cell. As for the formation energy: 0.668 eV/atom. The space-group type is No. 216.

6.
DFT (GGA-PBE) results for HoTmNi10 after structural relaxation.

Geometry as extended XYZ:
```
12
Lattice="-1.433 3.548 1.006 -4.371 -1.979 0.753 2.038 -1.450 8.017" Properties=species:S:1:pos:R:3 pbc="T T T"
Ho 0.000 0.000 0.000
Ni 0.302 1.049 4.512
Ni -3.481 -0.073 3.079
Ni -0.285 0.192 6.697
Ni 0.681 -0.485 2.681
Ni -1.300 0.915 2.703
Ni -2.902 0.785 0.879
Ni -0.489 -2.197 7.049
Ni -2.466 -0.796 7.073
Ni -1.844 -1.233 1.721
Ni 1.356 -0.965 5.336
Tm -1.167 -1.715 4.385
```

Summary:
The energy comes out at -70.9 eV per cell. As for the formation energy: -0.336 eV/atom. The space-group type is No. 47.